1.
Computed, not measured: a relaxed structure of Dy2TmAl2Zn2 at the PBE-GGA level of DFT.

Calculated density (g/cm³): 7.19
DOS at the Fermi energy (states/eV per atom): 0.46
E_tot (eV for the cell shown): -25.85
DFT formation energy (meV per atom): -306

Structure (POSCAR):
```
Dy2TmAl2Zn2
1.0
2.2443 1.2958 8.9854
-2.2443 1.2958 8.9854
0.0000 -2.5915 8.9854
Dy Tm Al Zn
2 1 2 2
direct
0.1267 0.1267 0.1267 Dy
0.8733 0.8733 0.8733 Dy
0.0000 0.0000 0.0000 Tm
0.2656 0.2656 0.2656 Al
0.7344 0.7344 0.7344 Al
0.3955 0.3955 0.3955 Zn
0.6045 0.6045 0.6045 Zn
```



2.
Computed, not measured: a relaxed structure of MgSiIr2 at the PBE-GGA level of DFT.

Calculated density (g/cm³): 12.64
DOS at the Fermi energy (states/eV per atom): 0.33
E_tot (eV for the cell shown): -27.15
Raw formation energy (meV/atom): -602

Structure (POSCAR):
```
MgSiIr2
1.0
2.9235 0.0000 0.0000
0.0000 2.9235 0.0000
0.0000 0.0000 6.7148
Mg Si Ir
1 1 2
direct
0.0000 0.0000 0.0000 Mg
0.0000 0.0000 0.5000 Si
0.5000 0.5000 0.2865 Ir
0.5000 0.5000 0.7135 Ir
```